Record 1
This record from the Alexandria database describes crystalline Fe2IrOs at its relaxed geometry. The functional is PBE.

Values from the calculation:
**ΔE_f**: 0.219 eV/atom

abc: 2.647 2.647 8.644
angles: 90.00 90.00 116.03
Fractional coordinates of all 4 atoms:
Fe1 0.000 0.000 0.249
Fe2 0.000 0.000 0.751
Ir1 0.500 0.500 0.500
Os1 0.500 0.500 0.000

---

Record 2
This record from the Alexandria database describes crystalline CaVTcBr2 at its relaxed geometry. The functional is PBE.

Values from the calculation:
**E_form (uncorrected)**: 0.994 eV per atom

abc: 5.220 5.220 7.068
angles: 90.00 90.00 90.00
Fractional coordinates of all 5 atoms:
Ca1 0.000 0.000 0.000
V1 0.000 0.000 0.500
Tc1 0.500 0.500 0.500
Br1 0.000 0.500 0.000
Br2 0.500 0.000 0.000

---

Record 3
This record from the Alexandria database describes crystalline LiCeSc4Se8 at its relaxed geometry. The functional is PBE.

Values from the calculation:
**E_form (uncorrected)**: -1.620 eV per atom

abc: 8.177 8.177 8.177
angles: 58.29 58.29 58.29
Fractional coordinates of all 14 atoms:
Li1 0.000 0.000 0.000
Ce1 0.630 0.630 0.630
Sc1 0.110 0.634 0.634
Sc2 0.257 0.257 0.257
Sc3 0.634 0.110 0.634
Sc4 0.634 0.634 0.110
Se1 0.372 0.372 0.864
Se2 0.372 0.864 0.372
Se3 0.387 0.387 0.387
Se4 0.394 0.882 0.882
Se5 0.864 0.372 0.372
Se6 0.870 0.870 0.870
Se7 0.882 0.394 0.882
Se8 0.882 0.882 0.394

---

| no. | total energy (eV/atom) |
| --- | --- |
| 1 | -9.04 |
| 2 | -3.97 |
| 3 | -5.98 |